No. 1
Compound: AlSi6NiTe
Source: OQMD
Functional: PBE
Structure: optimized geometry

The calculation puts the spin magnetization at 0.01 μB/cell. The space group is F-43m.

```
AlSi6NiTe
1.0
0.000 4.402 4.402
4.402 0.000 4.402
4.402 4.402 0.000
Al Si Ni Te
1 6 1 1
Direct
0.000 0.000 0.000
0.050 0.050 0.450
0.050 0.450 0.050
0.050 0.450 0.450
0.450 0.050 0.050
0.450 0.050 0.450
0.450 0.450 0.050
0.500 0.500 0.500
0.750 0.750 0.750
```

No. 2
Compound: Y2CoSi4Ir
Source: OQMD
Functional: PBE
Structure: optimized geometry

The calculation puts the spin magnetization at 0.00 μB/cell. The space group is Amm2.

```
Y2CoSi4Ir
1.0
4.056 0.000 0.000
0.000 2.039 8.271
0.000 -2.039 8.271
Y Co Si Ir
2 1 4 1
Direct
0.000 0.000 0.000
0.500 0.210 0.210
0.000 0.781 0.781
0.000 0.346 0.346
0.000 0.648 0.648
0.500 0.568 0.568
0.500 0.846 0.846
0.500 0.426 0.426
```

No. 3
Compound: LuScS2Br2
Source: OQMD
Functional: PBE
Structure: optimized geometry

The calculation puts the spin magnetization at 0.00 μB/cell. The space group is Pmm2.

```
LuScS2Br2
1.0
3.863 0.000 0.000
0.000 5.189 0.000
0.000 0.000 8.847
Lu Sc S Br
1 1 2 2
Direct
0.000 0.000 0.000
0.500 0.500 0.755
0.000 0.500 0.951
0.500 0.000 0.791
0.000 0.500 0.544
0.500 0.000 0.223
```

No. 4
Compound: SmGdGe
Source: OQMD
Functional: PBE
Structure: optimized geometry

The calculation puts the spin magnetization at 1.57 μB/cell. The space group is F-43m.

```
SmGdGe
1.0
0.000 3.545 3.545
3.545 0.000 3.545
3.545 3.545 0.000
Sm Gd Ge
1 1 1
Direct
0.000 0.000 0.000
0.750 0.750 0.750
0.500 0.500 0.500
```

No. 5
Compound: AgC2
Source: OQMD
Functional: PBE
Structure: optimized geometry

The space group is I4/mmm.

```
AgC2
1.0
-1.255 1.255 4.859
1.255 -1.255 4.859
1.255 1.255 -4.859
Ag C
1 2
Direct
0.000 0.000 0.000
0.241 0.241 0.000
0.759 0.759 0.000
```

No. 6
Compound: PrNd2Mg3InGa2
Source: OQMD
Functional: PBE
Structure: optimized geometry

The calculation puts the spin magnetization at 0.01 μB/cell. The space group is Amm2.

```
PrNd2Mg3InGa2
1.0
4.652 0.000 0.000
0.000 6.532 3.764
0.000 -6.532 3.764
Pr Nd Mg In Ga
1 2 3 1 2
Direct
0.000 0.000 0.000
0.000 0.131 0.565
0.000 0.565 0.131
0.500 0.317 0.317
0.500 0.565 0.813
0.500 0.813 0.565
0.000 0.564 0.564
0.500 0.233 0.898
0.500 0.898 0.233
```

No. 7
Compound: GaSiMo4N2
Source: OQMD
Functional: PBE
Structure: optimized geometry

The calculation puts the spin magnetization at 0.01 μB/cell. The space group is P-6m2.

```
GaSiMo4N2
1.0
2.923 0.000 0.000
-1.462 2.532 0.000
0.000 0.000 13.754
Ga Si Mo N
1 1 4 2
Direct
0.000 0.000 0.000
0.667 0.333 0.500
0.000 0.000 0.357
0.000 0.000 0.643
0.667 0.333 0.160
0.667 0.333 0.840
0.333 0.667 0.257
0.333 0.667 0.743
```

No. 8
Compound: RbSb5Os3
Source: OQMD
Functional: PBE
Structure: optimized geometry

The calculation puts the spin magnetization at 0.61 μB/cell. The space group is P6/mmm.

```
RbSb5Os3
1.0
5.730 0.000 0.000
-2.865 4.962 0.000
0.000 0.000 8.714
Rb Sb Os
1 5 3
Direct
0.000 0.000 0.000
0.000 0.000 0.500
0.333 0.667 0.254
0.333 0.667 0.746
0.667 0.333 0.254
0.667 0.333 0.746
0.000 0.500 0.500
0.500 0.000 0.500
0.500 0.500 0.500
```

No. 9
Compound: BaGdRe
Source: OQMD
Functional: PBE
Structure: optimized geometry

The calculation puts the spin magnetization at 0.85 μB/cell. The space group is F-43m.

```
BaGdRe
1.0
0.000 3.498 3.498
3.498 0.000 3.498
3.498 3.498 0.000
Ba Gd Re
1 1 1
Direct
0.000 0.000 0.000
0.750 0.750 0.750
0.250 0.250 0.250
```

No. 10
Compound: BaGdSO
Source: OQMD
Functional: PBE
Structure: optimized geometry

The calculation puts the spin magnetization at 6.88 μB/cell. The space group is Pbca.

```
BaGdSO
1.0
6.497 0.000 0.000
0.000 6.981 0.000
0.000 0.000 17.102
Ba Gd S O
8 8 8 8
Direct
0.134 0.190 0.072
0.134 0.310 0.572
0.366 0.690 0.072
0.366 0.810 0.572
0.634 0.190 0.428
0.634 0.310 0.928
0.866 0.690 0.428
0.866 0.810 0.928
0.158 0.162 0.797
0.158 0.338 0.297
0.342 0.662 0.797
0.342 0.838 0.297
0.658 0.162 0.703
0.658 0.338 0.203
0.842 0.662 0.703
0.842 0.838 0.203
0.144 0.061 0.417
0.144 0.439 0.917
0.356 0.561 0.417
0.356 0.939 0.917
0.644 0.061 0.083
0.644 0.439 0.583
0.856 0.561 0.083
0.856 0.939 0.583
0.057 0.659 0.273
0.057 0.841 0.773
0.443 0.159 0.273
0.443 0.341 0.773
0.557 0.659 0.227
0.557 0.841 0.727
0.943 0.159 0.227
0.943 0.341 0.727
```

No. 11
Compound: TlAu
Source: OQMD
Functional: PBE
Structure: optimized geometry

The space group is P-1.

```
TlAu
1.0
4.046 0.000 0.000
0.018 4.296 0.000
1.969 0.001 5.586
Tl Au
2 2
Direct
0.149 0.250 0.203
0.851 0.750 0.797
0.411 0.250 0.669
0.589 0.750 0.331
```

No. 12
Compound: DyTmNi
Source: OQMD
Functional: PBE
Structure: optimized geometry

The formation energy comes out at -0.18 eV per atom. The calculation puts the spin magnetization at 0.00 μB/cell. The space group is F-43m.

```
DyTmNi
1.0
0.000 3.330 3.330
3.330 0.000 3.330
3.330 3.330 0.000
Dy Tm Ni
1 1 1
Direct
0.000 0.000 0.000
0.500 0.500 0.500
0.250 0.250 0.250
```

Energy / eV/f.u.: -37.7 -57.4 -33.9 -13.0 -14.6 -31.9 -69.5 -53.1 -13.6 -24.5 -5.7 -15.2